Entry 1:
The following is a DFT calculation (GGA-PBEsol) of a geometry-optimized SrHfAs2Rh structure.

abc: 4.7736 5.0085 5.0085
angles: 90.00 90.00 90.00
Closest atoms and distances in Å follow each position.
Atoms (fractional coordinates):
Rh (0.0000, 0.0000, 0.0000)  2 Hf 2.39, 4 As 2.50
As (0.0000, 0.0000, 0.5000)  2 Rh 2.50
As (0.0000, 0.5000, 0.0000)  2 Rh 2.50
Hf (0.5000, 0.0000, 0.0000)  2 Rh 2.39
Sr (0.5000, 0.5000, 0.5000)  8 As 3.46, 4 Hf 3.54

## Properties
size of the total moment: 0.85 μB/f.u.
symmetry: P4/mmm (123)
ΔE_f: 0.046 eV per atom

***

Entry 2:
The following is a DFT calculation (GGA-PBEsol) of a geometry-optimized HfAsRu structure.

abc: 3.8628 6.5135 6.5135
angles: 120.00 90.00 90.00
Closest atoms and distances in Å follow each position.
Atoms (fractional coordinates):
Ru (0.0000, 0.0000, 0.2450)  4 As 2.51, 2 Ru 2.76
Ru (0.0000, 0.2450, 0.0000)  4 As 2.51, 2 Ru 2.76
Ru (0.0000, 0.7550, 0.7550)  4 As 2.51, 2 Ru 2.76
As (0.5000, 0.0000, 0.0000)  6 Ru 2.51, 3 Hf 2.73
As (0.0000, 0.6667, 0.3333)  3 Ru 2.51, 6 Hf 2.75
As (0.0000, 0.3333, 0.6667)  3 Ru 2.51, 6 Hf 2.75
Hf (0.5000, 0.4186, 0.4186)  5 As 2.73-2.75, 2 Ru 2.92
Hf (0.5000, 0.5814, 0.0000)  5 As 2.73-2.75, 2 Ru 2.92
Hf (0.5000, 0.0000, 0.5814)  5 As 2.73-2.75, 2 Ru 2.92

## Properties
size of the total moment: 0.00 μB/f.u.
symmetry: P-62m (189)
ΔE_f: -0.831 eV per atom

***

Entry 3:
The following is a DFT calculation (GGA-PBEsol) of a geometry-optimized Hf3AsRu structure.

abc: 4.8755 4.8755 4.8755
angles: 90.00 90.00 90.00
Closest atoms and distances in Å follow each position.
Atoms (fractional coordinates):
Ru (0.0000, 0.0000, 0.0000)  6 Hf 2.44
As (0.5000, 0.5000, 0.5000)  12 Hf 3.45
Hf (0.0000, 0.5000, 0.0000)  2 Ru 2.44
Hf (0.0000, 0.0000, 0.5000)  2 Ru 2.44
Hf (0.5000, 0.0000, 0.0000)  2 Ru 2.44

## Properties
size of the total moment: 0.00 μB/f.u.
symmetry: Pm-3m (221)
ΔE_f: 0.272 eV per atom

***

Entry 4:
The following is a DFT calculation (GGA-PBEsol) of a geometry-optimized HfAs2RuSe structure.

abc: 4.9614 5.0242 5.0242
angles: 90.00 90.00 90.00
Closest atoms and distances in Å follow each position.
Atoms (fractional coordinates):
Ru (0.5000, 0.5000, 0.5000)  8 As 3.53, 4 Se 3.55
As (0.0000, 0.0000, 0.5000)  2 Hf 2.51
As (0.0000, 0.5000, 0.0000)  2 Hf 2.51
Hf (0.0000, 0.0000, 0.0000)  2 Se 2.48, 4 As 2.51
Se (0.5000, 0.0000, 0.0000)  2 Hf 2.48

## Properties
size of the total moment: 2.25 μB/f.u.
symmetry: P4/mmm (123)
formation energy from raw total energies: 0.93 eV per atom

***

Entry 5:
The following is a DFT calculation (GGA-PBEsol) of a geometry-optimized HfAsSe2S structure.

abc: 4.7172 4.7172 4.5949
angles: 90.00 90.00 90.00
Closest atoms and distances in Å follow each position.
Atoms (fractional coordinates):
As (0.0000, 0.0000, 0.5000)  2 S 2.30
Hf (0.5000, 0.5000, 0.5000)  8 Se 3.29, 4 As 3.34
S (0.0000, 0.0000, 0.0000)  2 As 2.30, 4 Se 2.36
Se (0.0000, 0.5000, 0.0000)  2 S 2.36
Se (0.5000, 0.0000, 0.0000)  2 S 2.36

## Properties
size of the total moment: 0.00 μB/f.u.
symmetry: P4/mmm (123)
formation energy from raw total energies: 0.33 eV per atom

***

Entry 6:
The following is a DFT calculation (GGA-PBEsol) of a geometry-optimized HfSbTe2As structure.

abc: 5.3783 5.3783 5.5416
angles: 90.00 90.00 90.00
Closest atoms and distances in Å follow each position.
Atoms (fractional coordinates):
Sb (0.0000, 0.0000, 0.5000)  2 Hf 2.77
As (0.5000, 0.5000, 0.5000)  4 Sb 3.80, 8 Te 3.86
Te (0.0000, 0.5000, 0.0000)  2 Hf 2.69
Te (0.5000, 0.0000, 0.0000)  2 Hf 2.69
Hf (0.0000, 0.0000, 0.0000)  4 Te 2.69, 2 Sb 2.77

## Properties
size of the total moment: 1.29 μB/f.u.
symmetry: P4/mmm (123)
formation energy from raw total energies: 0.46 eV per atom

***

Entry 7:
The following is a DFT calculation (GGA-PBEsol) of a geometry-optimized HfSbAsW2 structure.

abc: 4.5704 4.5704 5.1692
angles: 90.00 90.00 90.00
Closest atoms and distances in Å follow each position.
Atoms (fractional coordinates):
Sb (0.0000, 0.0000, 0.5000)  2 As 2.58
As (0.0000, 0.0000, 0.0000)  4 W 2.29
Hf (0.5000, 0.5000, 0.5000)  4 Sb 3.23, 8 W 3.45
W (0.0000, 0.5000, 0.0000)  2 As 2.29
W (0.5000, 0.0000, 0.0000)  2 As 2.29

## Properties
size of the total moment: 0.00 μB/f.u.
symmetry: P4/mmm (123)
formation energy from raw total energies: 1.36 eV per atom

***

Entry 8:
The following is a DFT calculation (GGA-PBEsol) of a geometry-optimized HfSc2As2 structure.

abc: 3.6690 7.1341 7.1341
angles: 90.00 90.00 90.00
Closest atoms and distances in Å follow each position.
Atoms (fractional coordinates):
Sc (0.5000, 0.1580, 0.6580)  6 As 2.70-2.84
Sc (0.5000, 0.6580, 0.8420)  6 As 2.70-2.84
Sc (0.5000, 0.8420, 0.3420)  6 As 2.70-2.84
Sc (0.5000, 0.3420, 0.1580)  6 As 2.70-2.84
As (0.0000, 0.3539, 0.8539)  6 Sc 2.70-2.84, 2 Hf 2.73, 1 As 2.95
As (0.0000, 0.8539, 0.6461)  6 Sc 2.70-2.84, 2 Hf 2.73, 1 As 2.95
As (0.0000, 0.6461, 0.1461)  6 Sc 2.70-2.84, 2 Hf 2.73, 1 As 2.95
As (0.0000, 0.1461, 0.3539)  6 Sc 2.70-2.84, 2 Hf 2.73, 1 As 2.95
Hf (0.0000, 0.0000, 0.0000)  4 As 2.73
Hf (0.0000, 0.5000, 0.5000)  4 As 2.73

## Properties
size of the total moment: 0.00 μB/f.u.
symmetry: P4/mbm (127)
ΔE_f: -1.105 eV per atom

***

Number 5 is which compound?
HfAsSe2S

***

size of the total moment of number 8 (HfSc2As2)?
0.00 μB/f.u.

***

Which value of size of the total moment does entry 5 give?
0.00 μB/f.u.